First-principles (PBE) data for K2CaZr3O8 after structural relaxation, as listed in Alexandria.

```
K2CaZr3O8
1.0
6.639 0.000 0.000
3.320 5.750 0.000
3.320 1.917 6.530
O Zr K Ca
8 3 2 1
Direct
0.749 0.306 0.196
0.217 0.217 0.872
0.306 0.749 0.196
0.749 0.749 0.196
0.694 0.217 0.872
0.270 0.270 0.189
0.217 0.694 0.872
0.713 0.713 0.861
0.493 0.989 0.024
0.989 0.493 0.024
0.493 0.493 0.024
0.138 0.138 0.587
0.492 0.492 0.524
0.971 0.971 0.088
```

Calculated values
- DFT total energy: -0.5780 Ry per atom
- Space-group type: R3m, No. 160
- M_tot: 0.00 μB per formula unit
- Raw formation energy: -2899 meV/atom

=====

First-principles (PBE) data for Tb4ErPu after structural relaxation, as listed in Alexandria.

```
Tb4ErPu
1.0
3.422 0.000 0.799
-0.515 5.697 2.212
-0.365 -0.331 9.296
Tb Pu Er
4 1 1
Direct
0.335 0.000 0.330
0.166 0.497 0.669
0.665 0.000 0.670
0.834 0.503 0.331
0.000 0.000 0.000
0.500 0.500 0.000
```

Calculated values
- DFT total energy: -0.4534 Ry per atom
- Calculated formation energy: 0.067 eV per atom
- Space-group type: C2/m, No. 12
- M_tot: 6.28 μB per formula unit

=====

DOS at the Fermi energy in states/eV/f.u., matching the order above: 0.00 13.45